Entry 1:
TbDyBi2Te2 after structural relaxation. Source: OQMD, functional PBE-GGA.

Structure (POSCAR):
```
TbDyBi2Te2
1.0
4.392 0.000 0.000
0.000 4.392 0.000
0.000 0.000 9.326
Bi Dy Tb Te
2 1 1 2
Direct
0.500 0.000 0.000
0.000 0.500 0.000
0.500 0.500 0.285
0.000 0.000 0.716
0.000 0.000 0.374
0.500 0.500 0.625
```

Results
Energy in eV/atom: -4.935

***

Entry 2:
TbBiN2O after structural relaxation. Source: OQMD, functional PBE-GGA.

Structure (POSCAR):
```
TbBiN2O
1.0
8.570 0.000 0.000
0.000 5.631 0.000
0.000 0.000 5.885
Bi N O Tb
4 8 4 4
Direct
0.250 0.750 0.476
0.750 0.750 0.476
0.250 0.250 0.976
0.750 0.250 0.976
0.174 0.557 0.173
0.826 0.557 0.173
0.327 0.057 0.279
0.673 0.057 0.279
0.174 0.443 0.673
0.826 0.443 0.673
0.327 0.943 0.779
0.673 0.943 0.779
0.000 0.105 0.039
0.500 0.606 0.413
0.000 0.895 0.539
0.500 0.394 0.913
0.500 0.776 0.043
0.000 0.277 0.409
0.500 0.224 0.543
0.000 0.723 0.909
```

Results
Energy in eV/atom: -6.683

***

Entry 3:
SrMoAs after structural relaxation. Source: OQMD, functional PBE-GGA.

Structure (POSCAR):
```
SrMoAs
1.0
0.000 3.444 3.444
3.444 0.000 3.444
3.444 3.444 0.000
As Mo Sr
1 1 1
Direct
0.000 0.000 0.000
0.250 0.250 0.250
0.750 0.750 0.750
```

Results
Energy in eV/atom: -5.290

***

Entry 4:
Ta9Co4 after structural relaxation. Source: OQMD, functional PBE-GGA.

Structure (POSCAR):
```
Ta9Co4
1.0
-7.778 -4.947 -0.750
-4.319 -7.905 2.093
-7.061 -3.955 4.475
Co Ta
4 9
Direct
0.168 0.168 0.168
0.455 0.455 0.455
0.545 0.545 0.545
0.832 0.832 0.832
0.000 0.000 0.000
0.577 0.081 0.081
0.081 0.577 0.081
0.351 0.351 0.351
0.919 0.919 0.423
0.081 0.081 0.577
0.649 0.649 0.649
0.919 0.423 0.919
0.423 0.919 0.919
```

Results
Energy relative to the lowest polymorph listed for this composition in kcal/mol of atoms: 0.000
Energy in eV/atom: -10.144
DFT formation energy in eV/atom: 0.2485

***

Entry 5:
PuNbFe after structural relaxation. Source: OQMD, functional PBE-GGA.

Structure (POSCAR):
```
PuNbFe
1.0
2.226 -3.531 -0.850
-1.820 -3.200 -2.142
1.207 -0.846 -3.996
Fe Nb Pu
1 1 1
Direct
0.000 0.000 0.000
0.500 0.500 0.500
0.750 0.750 0.750
```

Results
Energy relative to the lowest polymorph listed for this composition in kcal/mol of atoms: 9.185
Energy in eV/atom: -9.631
DFT formation energy in eV/atom: 1.2120

***

Entry 6:
Pm2Ge2O5 after structural relaxation. Source: OQMD, functional PBE-GGA.

Structure (POSCAR):
```
Pm2Ge2O5
1.0
6.798 0.000 0.000
0.000 4.098 0.000
0.000 0.000 4.098
Ge O Pm
2 5 2
Direct
0.220 0.500 0.500
0.780 0.500 0.500
0.237 0.500 0.000
0.763 0.500 0.000
0.237 0.000 0.500
0.763 0.000 0.500
0.500 0.500 0.500
0.000 0.000 0.000
0.500 0.000 0.000
```

Results
Energy relative to the lowest polymorph listed for this composition in kcal/mol of atoms: 0.000
Energy in eV/atom: -6.820